one) First-principles (PBE) data for an optimized crystal structure of SmTcC2, as listed in Alexandria.

```
data_SmTcC2
_chemical_formula_sum 'Sm1 Tc1 C2'
_cell_length_a 3.970
_cell_length_b 3.887
_cell_length_c 3.887
_cell_angle_alpha 76.99
_cell_angle_beta 90.00
_cell_angle_gamma 90.00
_symmetry_space_group_name_H-M 'P 1'
_symmetry_Int_Tables_number 1
loop_
_symmetry_equiv_pos_as_xyz
'x,y,z'
loop_
_atom_site_label
_atom_site_fract_x
_atom_site_fract_y
_atom_site_fract_z
Sm1 0.000 0.000 0.000
Tc1 0.500 0.591 0.591
C1 0.500 0.117 0.413
C2 0.500 0.413 0.117
```

Calculated values
Spin magnetization in μB per cell: 0.00
Density in g/cm3: 7.74
Crystal system: orthorhombic
Space group: Amm2 (38)

=====

two) First-principles (PBE) data for an optimized crystal structure of SmTcC2, as listed in Alexandria.

```
data_SmTcC2
_chemical_formula_sum 'Sm1 Tc1 C2'
_cell_length_a 5.889
_cell_length_b 5.889
_cell_length_c 5.889
_cell_angle_alpha 32.24
_cell_angle_beta 32.24
_cell_angle_gamma 32.24
_symmetry_space_group_name_H-M 'P 1'
_symmetry_Int_Tables_number 1
loop_
_symmetry_equiv_pos_as_xyz
'x,y,z'
loop_
_atom_site_label
_atom_site_fract_x
_atom_site_fract_y
_atom_site_fract_z
Sm1 0.000 0.000 0.000
Tc1 0.500 0.500 0.500
C1 0.234 0.234 0.234
C2 0.766 0.766 0.766
```

Calculated values
Spin magnetization in μB per cell: 0.00
Density in g/cm3: 8.76
Crystal system: trigonal
Space group: R-3m (166)

=====

Most stable: one) (next structure +29.1 kJ/mol of atoms)

=====

one) First-principles (PBE) data for an optimized crystal structure of Sm2TcC2, as listed in Alexandria.

```
data_Sm2TcC2
_chemical_formula_sum 'Sm8 Tc4 C8'
_cell_length_a 8.076
_cell_length_b 6.327
_cell_length_c 6.533
_cell_angle_alpha 90.00
_cell_angle_beta 99.35
_cell_angle_gamma 90.00
_symmetry_space_group_name_H-M 'P 1'
_symmetry_Int_Tables_number 1
loop_
_symmetry_equiv_pos_as_xyz
'x,y,z'
loop_
_atom_site_label
_atom_site_fract_x
_atom_site_fract_y
_atom_site_fract_z
Sm1 0.065 0.235 0.029
Sm2 0.065 0.265 0.529
Sm3 0.317 0.606 0.887
Sm4 0.317 0.894 0.387
Sm5 0.683 0.106 0.613
Sm6 0.683 0.394 0.113
Sm7 0.935 0.735 0.471
Sm8 0.935 0.765 0.971
Tc1 0.382 0.082 0.849
Tc2 0.382 0.418 0.349
Tc3 0.618 0.582 0.651
Tc4 0.618 0.918 0.151
C1 0.158 0.564 0.230
C2 0.158 0.936 0.730
C3 0.426 0.183 0.146
C4 0.426 0.317 0.646
C5 0.574 0.683 0.354
C6 0.574 0.817 0.854
C7 0.842 0.064 0.270
C8 0.842 0.436 0.770
```

Calculated values
Spin magnetization in μB per cell: 0.00
Density in g/cm3: 8.52
Crystal system: monoclinic
Space group: P2_1/c (14)

=====

two) First-principles (PBE) data for an optimized crystal structure of Sm2TcC2, as listed in Alexandria.

```
data_Sm2TcC2
_chemical_formula_sum 'Sm8 Tc4 C8'
_cell_length_a 6.657
_cell_length_b 5.261
_cell_length_c 10.111
_cell_angle_alpha 90.00
_cell_angle_beta 90.00
_cell_angle_gamma 90.00
_symmetry_space_group_name_H-M 'P 1'
_symmetry_Int_Tables_number 1
loop_
_symmetry_equiv_pos_as_xyz
'x,y,z'
loop_
_atom_site_label
_atom_site_fract_x
_atom_site_fract_y
_atom_site_fract_z
Sm1 0.029 0.250 0.214
Sm2 0.183 0.250 0.554
Sm3 0.317 0.750 0.054
Sm4 0.471 0.750 0.714
Sm5 0.529 0.250 0.286
Sm6 0.683 0.250 0.946
Sm7 0.817 0.750 0.446
Sm8 0.971 0.750 0.786
Tc1 0.224 0.250 0.861
Tc2 0.276 0.750 0.361
Tc3 0.724 0.250 0.639
Tc4 0.776 0.750 0.139
C1 0.041 0.750 0.242
C2 0.186 0.750 0.540
C3 0.314 0.250 0.040
C4 0.459 0.250 0.742
C5 0.541 0.750 0.258
C6 0.686 0.750 0.960
C7 0.814 0.250 0.460
C8 0.959 0.250 0.758
```

Calculated values
Spin magnetization in μB per cell: 0.00
Density in g/cm3: 7.93
Crystal system: orthorhombic
Space group: Pnma (62)

=====

Most stable: two) (next structure +17.0 kJ/mol of atoms)

=====

one) First-principles (PBE) data for an optimized crystal structure of Sm4Te2C, as listed in Alexandria.

```
data_Sm4Te2C
_chemical_formula_sum 'Sm4 Te2 C1'
_cell_length_a 8.827
_cell_length_b 8.827
_cell_length_c 8.827
_cell_angle_alpha 148.17
_cell_angle_beta 148.17
_cell_angle_gamma 45.64
_symmetry_space_group_name_H-M 'P 1'
_symmetry_Int_Tables_number 1
loop_
_symmetry_equiv_pos_as_xyz
'x,y,z'
loop_
_atom_site_label
_atom_site_fract_x
_atom_site_fract_y
_atom_site_fract_z
Sm1 0.000 0.500 0.500
Sm2 0.161 0.161 0.000
Sm3 0.500 0.000 0.500
Sm4 0.839 0.839 0.000
Te1 0.359 0.359 0.000
Te2 0.641 0.641 0.000
C1 0.000 0.000 0.000
```

Calculated values
Spin magnetization in μB per cell: 0.00
Density in g/cm3: 7.56
Crystal system: tetragonal
Space group: I4/mmm (139)

=====

two) First-principles (PBE) data for an optimized crystal structure of Sm4Te2C, as listed in Alexandria.

```
data_Sm4Te2C
_chemical_formula_sum 'Sm4 Te2 C1'
_cell_length_a 6.463
_cell_length_b 6.463
_cell_length_c 8.433
_cell_angle_alpha 114.50
_cell_angle_beta 114.50
_cell_angle_gamma 36.12
_symmetry_space_group_name_H-M 'P 1'
_symmetry_Int_Tables_number 1
loop_
_symmetry_equiv_pos_as_xyz
'x,y,z'
loop_
_atom_site_label
_atom_site_fract_x
_atom_site_fract_y
_atom_site_fract_z
Sm1 0.059 0.059 0.326
Sm2 0.356 0.356 0.947
Sm3 0.644 0.644 0.053
Sm4 0.941 0.941 0.674
Te1 0.343 0.343 0.324
Te2 0.657 0.657 0.676
C1 0.000 0.000 0.000
```

Calculated values
Spin magnetization in μB per cell: 0.00
Density in g/cm3: 7.72
Crystal system: monoclinic
Space group: C2/m (12)

=====

three) First-principles (PBE) data for an optimized crystal structure of Sm4Te2C, as listed in Alexandria.

```
data_Sm4Te2C
_chemical_formula_sum 'Sm4 Te2 C1'
_cell_length_a 8.216
_cell_length_b 8.216
_cell_length_c 7.096
_cell_angle_alpha 115.53
_cell_angle_beta 115.53
_cell_angle_gamma 27.94
_symmetry_space_group_name_H-M 'P 1'
_symmetry_Int_Tables_number 1
loop_
_symmetry_equiv_pos_as_xyz
'x,y,z'
loop_
_atom_site_label
_atom_site_fract_x
_atom_site_fract_y
_atom_site_fract_z
Sm1 0.098 0.098 0.243
Sm2 0.397 0.397 0.189
Sm3 0.603 0.603 0.811
Sm4 0.902 0.902 0.757
Te1 0.239 0.239 0.731
Te2 0.761 0.761 0.269
C1 0.500 0.500 0.000
```

Calculated values
Spin magnetization in μB per cell: 1.23
Density in g/cm3: 7.17
Crystal system: monoclinic
Space group: C2/m (12)

=====

Most stable: two) (next structure +10.3 kJ/mol of atoms)

=====

one) First-principles (PBE) data for an optimized crystal structure of Sm4TeC, as listed in Alexandria.

```
data_Sm4TeC
_chemical_formula_sum 'Sm8 Te2 C2'
_cell_length_a 8.377
_cell_length_b 8.377
_cell_length_c 6.499
_cell_angle_alpha 106.00
_cell_angle_beta 106.00
_cell_angle_gamma 118.31
_symmetry_space_group_name_H-M 'P 1'
_symmetry_Int_Tables_number 1
loop_
_symmetry_equiv_pos_as_xyz
'x,y,z'
loop_
_atom_site_label
_atom_site_fract_x
_atom_site_fract_y
_atom_site_fract_z
Sm1 0.062 0.658 0.842
Sm2 0.160 0.261 0.701
Sm3 0.261 0.160 0.201
Sm4 0.342 0.938 0.658
Sm5 0.658 0.062 0.342
Sm6 0.739 0.840 0.799
Sm7 0.840 0.739 0.299
Sm8 0.938 0.342 0.158
Te1 0.390 0.610 0.250
Te2 0.610 0.390 0.750
C1 0.068 0.932 0.750
C2 0.932 0.068 0.250
```

Calculated values
Spin magnetization in μB per cell: 0.00
Density in g/cm3: 7.27
Crystal system: monoclinic
Space group: C2/c (15)

=====

two) First-principles (PBE) data for an optimized crystal structure of Sm4TeC, as listed in Alexandria.

```
data_Sm4TeC
_chemical_formula_sum 'Sm8 Te2 C2'
_cell_length_a 8.759
_cell_length_b 8.759
_cell_length_c 6.320
_cell_angle_alpha 110.37
_cell_angle_beta 110.37
_cell_angle_gamma 112.68
_symmetry_space_group_name_H-M 'P 1'
_symmetry_Int_Tables_number 1
loop_
_symmetry_equiv_pos_as_xyz
'x,y,z'
loop_
_atom_site_label
_atom_site_fract_x
_atom_site_fract_y
_atom_site_fract_z
Sm1 0.054 0.667 0.887
Sm2 0.157 0.252 0.650
Sm3 0.252 0.157 0.150
Sm4 0.333 0.946 0.613
Sm5 0.667 0.054 0.387
Sm6 0.748 0.843 0.850
Sm7 0.843 0.748 0.350
Sm8 0.946 0.333 0.113
Te1 0.378 0.622 0.250
Te2 0.622 0.378 0.750
C1 0.073 0.927 0.250
C2 0.927 0.073 0.750
```

Calculated values
Spin magnetization in μB per cell: 0.00
Density in g/cm3: 7.07
Crystal system: monoclinic
Space group: C2/c (15)

=====

Most stable: one) (next structure +3.3 kJ/mol of atoms)

=====

one) First-principles (PBE) data for an optimized crystal structure of SmThC2, as listed in Alexandria.

```
data_SmThC2
_chemical_formula_sum 'Sm1 Th1 C2'
_cell_length_a 6.567
_cell_length_b 6.567
_cell_length_c 6.567
_cell_angle_alpha 32.65
_cell_angle_beta 32.65
_cell_angle_gamma 32.65
_symmetry_space_group_name_H-M 'P 1'
_symmetry_Int_Tables_number 1
loop_
_symmetry_equiv_pos_as_xyz
'x,y,z'
loop_
_atom_site_label
_atom_site_fract_x
_atom_site_fract_y
_atom_site_fract_z
Sm1 0.000 0.000 0.000
Th1 0.170 0.170 0.170
C1 0.583 0.583 0.583
C2 0.759 0.759 0.759
```

Calculated values
Spin magnetization in μB per cell: 0.00
Density in g/cm3: 9.21
Crystal system: trigonal
Space group: R3m (160)

=====

two) First-principles (PBE) data for an optimized crystal structure of SmThC2, as listed in Alexandria.

```
data_SmThC2
_chemical_formula_sum 'Sm1 Th1 C2'
_cell_length_a 3.664
_cell_length_b 3.664
_cell_length_c 6.383
_cell_angle_alpha 90.20
_cell_angle_beta 90.20
_cell_angle_gamma 59.98
_symmetry_space_group_name_H-M 'P 1'
_symmetry_Int_Tables_number 1
loop_
_symmetry_equiv_pos_as_xyz
'x,y,z'
loop_
_atom_site_label
_atom_site_fract_x
_atom_site_fract_y
_atom_site_fract_z
Sm1 0.000 0.000 0.000
Th1 0.000 0.000 0.500
C1 0.333 0.333 0.264
C2 0.667 0.667 0.736
```

Calculated values
Spin magnetization in μB per cell: 0.00
Density in g/cm3: 9.10
Crystal system: monoclinic
Space group: C2/m (12)

=====

three) First-principles (PBE) data for an optimized crystal structure of SmThC2, as listed in Alexandria.

```
data_SmThC2
_chemical_formula_sum 'Sm1 Th1 C2'
_cell_length_a 6.445
_cell_length_b 6.445
_cell_length_c 6.445
_cell_angle_alpha 33.78
_cell_angle_beta 33.78
_cell_angle_gamma 33.78
_symmetry_space_group_name_H-M 'P 1'
_symmetry_Int_Tables_number 1
loop_
_symmetry_equiv_pos_as_xyz
'x,y,z'
loop_
_atom_site_label
_atom_site_fract_x
_atom_site_fract_y
_atom_site_fract_z
Sm1 0.000 0.000 0.000
Th1 0.500 0.500 0.500
C1 0.247 0.247 0.247
C2 0.753 0.753 0.753
```

Calculated values
Spin magnetization in μB per cell: 0.00
Density in g/cm3: 9.16
Crystal system: trigonal
Space group: R-3m (166)

=====

Most stable: three) (next structure +14.3 kJ/mol of atoms)

=====

one) First-principles (PBE) data for an optimized crystal structure of SmTlC, as listed in Alexandria.

```
data_SmTlC
_chemical_formula_sum 'Sm2 Tl2 C2'
_cell_length_a 4.011
_cell_length_b 4.011
_cell_length_c 10.434
_cell_angle_alpha 92.92
_cell_angle_beta 92.92
_cell_angle_gamma 55.73
_symmetry_space_group_name_H-M 'P 1'
_symmetry_Int_Tables_number 1
loop_
_symmetry_equiv_pos_as_xyz
'x,y,z'
loop_
_atom_site_label
_atom_site_fract_x
_atom_site_fract_y
_atom_site_fract_z
Sm1 0.141 0.141 0.145
Sm2 0.859 0.859 0.855
Tl1 0.166 0.166 0.609
Tl2 0.834 0.834 0.391
C1 0.427 0.427 0.037
C2 0.573 0.573 0.963
```

Calculated values
Spin magnetization in μB per cell: 0.00
Density in g/cm3: 8.80
Crystal system: monoclinic
Space group: C2/m (12)

=====

two) First-principles (PBE) data for an optimized crystal structure of SmTlC, as listed in Alexandria.

```
data_SmTlC
_chemical_formula_sum 'Sm2 Tl2 C2'
_cell_length_a 11.837
_cell_length_b 11.837
_cell_length_c 11.837
_cell_angle_alpha 162.53
_cell_angle_beta 162.53
_cell_angle_gamma 24.81
_symmetry_space_group_name_H-M 'P 1'
_symmetry_Int_Tables_number 1
loop_
_symmetry_equiv_pos_as_xyz
'x,y,z'
loop_
_atom_site_label
_atom_site_fract_x
_atom_site_fract_y
_atom_site_fract_z
Sm1 0.093 0.093 0.000
Sm2 0.907 0.907 0.000
Tl1 0.293 0.293 0.000
Tl2 0.707 0.707 0.000
C1 0.392 0.392 0.000
C2 0.608 0.608 0.000
```

Calculated values
Spin magnetization in μB per cell: 0.00
Density in g/cm3: 8.15
Crystal system: tetragonal
Space group: I4/mmm (139)

=====

Most stable: one) (next structure +67.1 kJ/mol of atoms)

=====

one) First-principles (PBE) data for an optimized crystal structure of SmTm2C, as listed in Alexandria.

```
data_SmTm2C
_chemical_formula_sum 'Sm1 Tm2 C1'
_cell_length_a 9.299
_cell_length_b 9.299
_cell_length_c 9.299
_cell_angle_alpha 21.97
_cell_angle_beta 21.97
_cell_angle_gamma 21.97
_symmetry_space_group_name_H-M 'P 1'
_symmetry_Int_Tables_number 1
loop_
_symmetry_equiv_pos_as_xyz
'x,y,z'
loop_
_atom_site_label
_atom_site_fract_x
_atom_site_fract_y
_atom_site_fract_z
Sm1 0.000 0.000 0.000
Tm1 0.217 0.217 0.217
Tm2 0.453 0.453 0.453
C1 0.835 0.835 0.835
```

Calculated values
Spin magnetization in μB per cell: 0.47
Density in g/cm3: 8.42
Crystal system: trigonal
Space group: R3m (160)

=====

two) First-principles (PBE) data for an optimized crystal structure of SmTm2C, as listed in Alexandria.

```
data_SmTm2C
_chemical_formula_sum 'Sm1 Tm2 C1'
_cell_length_a 9.884
_cell_length_b 9.884
_cell_length_c 9.884
_cell_angle_alpha 20.34
_cell_angle_beta 20.34
_cell_angle_gamma 20.34
_symmetry_space_group_name_H-M 'P 1'
_symmetry_Int_Tables_number 1
loop_
_symmetry_equiv_pos_as_xyz
'x,y,z'
loop_
_atom_site_label
_atom_site_fract_x
_atom_site_fract_y
_atom_site_fract_z
Sm1 0.000 0.000 0.000
Tm1 0.121 0.121 0.121
Tm2 0.879 0.879 0.879
C1 0.500 0.500 0.500
```

Calculated values
Spin magnetization in μB per cell: 0.00
Density in g/cm3: 8.14
Crystal system: trigonal
Space group: R-3m (166)

=====

Most stable: one) (next structure +8.8 kJ/mol of atoms)

=====

one) First-principles (PBE) data for an optimized crystal structure of SmZnC, as listed in Alexandria.

```
data_SmZnC
_chemical_formula_sum 'Sm2 Zn2 C2'
_cell_length_a 4.297
_cell_length_b 4.297
_cell_length_c 7.871
_cell_angle_alpha 103.02
_cell_angle_beta 103.02
_cell_angle_gamma 52.94
_symmetry_space_group_name_H-M 'P 1'
_symmetry_Int_Tables_number 1
loop_
_symmetry_equiv_pos_as_xyz
'x,y,z'
loop_
_atom_site_label
_atom_site_fract_x
_atom_site_fract_y
_atom_site_fract_z
Sm1 0.095 0.095 0.311
Sm2 0.905 0.905 0.689
Zn1 0.345 0.345 0.003
Zn2 0.655 0.655 0.997
C1 0.414 0.414 0.458
C2 0.586 0.586 0.542
```

Calculated values
Spin magnetization in μB per cell: 0.00
Density in g/cm3: 6.74
Crystal system: monoclinic
Space group: C2/m (12)

=====

two) First-principles (PBE) data for an optimized crystal structure of SmZnC, as listed in Alexandria.

```
data_SmZnC
_chemical_formula_sum 'Sm2 Zn2 C2'
_cell_length_a 9.137
_cell_length_b 9.137
_cell_length_c 9.137
_cell_angle_alpha 156.31
_cell_angle_beta 156.31
_cell_angle_gamma 33.75
_symmetry_space_group_name_H-M 'P 1'
_symmetry_Int_Tables_number 1
loop_
_symmetry_equiv_pos_as_xyz
'x,y,z'
loop_
_atom_site_label
_atom_site_fract_x
_atom_site_fract_y
_atom_site_fract_z
Sm1 0.180 0.180 0.000
Sm2 0.820 0.820 0.000
Zn1 0.433 0.433 0.000
Zn2 0.567 0.567 0.000
C1 0.321 0.321 0.000
C2 0.679 0.679 0.000
```

Calculated values
Spin magnetization in μB per cell: 0.00
Density in g/cm3: 6.15
Crystal system: tetragonal
Space group: I4/mmm (139)

=====

Most stable: one) (next structure +30.7 kJ/mol of atoms)